# Li2MoPbF8 | the Alexandria database | GGA+U | relaxed
data_Li2MoPbF8
_chemical_formula_sum 'Li2 Mo1 Pb1 F8'
_space_group_name_H-M_alt 'P 1'
_space_group_IT_number 1
_cell_length_a 4.819
_cell_length_b 4.995
_cell_length_c 7.343
_cell_angle_alpha 84.40
_cell_angle_beta 84.69
_cell_angle_gamma 82.53
loop_
_space_group_symop_operation_xyz
'x,y,z'
loop_
_atom_site_label
_atom_site_fract_x
_atom_site_fract_y
_atom_site_fract_z
F1 0.720 0.746 0.046
F2 0.280 0.254 0.954
F3 0.800 0.218 0.785
F4 0.799 0.220 0.198
F5 0.201 0.780 0.802
F6 0.655 0.692 0.504
F7 0.345 0.308 0.496
F8 0.200 0.782 0.215
Li1 0.468 0.460 0.707
Li2 0.532 0.540 0.293
Pb1 0.000 0.000 0.500
Mo1 0.000 0.000 0.000
# * N(E_F): 0.000 states/eV/atom
# * DFT total energy: -5.075 eV/atom